(1)
Below is TbCe2Mg after structural relaxation, with properties calculated at the GGA-PBE level.

Lattice parameters (Å, degrees): 5.520 5.520 5.520 60.00 60.00 60.00
Each line ends with the local moment (μB).
Atoms (fractional coordinates):
Mg 0.000 0.000 0.000  -0.01
Tb 0.500 0.500 0.500  0.25
Ce 0.250 0.250 0.250  0.81
Ce 0.750 0.750 0.750  0.81

Summary:
* energy above the most stable polymorph in this dataset: 0.0805 eV/atom

(2)
Below is Tb2CeMg5 after structural relaxation, with properties calculated at the GGA-PBE level.

Lattice parameters (Å, degrees): 5.290 5.290 8.416 108.31 108.31 90.00
Each line ends with the local moment (μB).
Atoms (fractional coordinates):
Tb 0.259 0.259 0.518  0.04
Tb 0.741 0.741 0.482  0.04
Ce 0.000 0.000 0.000  0.85
Mg 0.500 0.500 0.000  0.00
Mg 0.621 0.121 0.242  0.00
Mg 0.121 0.621 0.242  0.00
Mg 0.379 0.879 0.758  0.00
Mg 0.879 0.379 0.758  0.00

(3)
Below is TbCe2Mg after structural relaxation, with properties calculated at the GGA-PBE level.

Lattice parameters (Å, degrees): 5.102 4.732 4.732 90.00 90.00 90.00
Each line ends with the local moment (μB).
Atoms (fractional coordinates):
Mg 0.500 0.500 0.500  0.00
Tb 0.500 0.000 0.000  0.16
Ce 0.000 0.000 0.500  0.77
Ce 0.000 0.500 0.000  0.77

Summary:
* energy above the most stable polymorph in this dataset: 0.0077 eV/atom

(4)
Below is Tb2CeMg after structural relaxation, with properties calculated at the GGA-PBE level.

Lattice parameters (Å, degrees): 3.404 3.404 12.320 82.06 82.06 60.00
Each line ends with the local moment (μB).
Atoms (fractional coordinates):
Mg 0.000 0.000 0.000  0.00
Tb 0.090 0.090 0.731  0.00
Tb 0.910 0.910 0.269  0.00
Ce 0.500 0.500 0.500  0.34

Summary:
* energy above the most stable polymorph in this dataset: 0.2103 eV/atom

(5)
Below is TbCeMgTc after structural relaxation, with properties calculated at the GGA-PBE level.

Lattice parameters (Å, degrees): 3.400 3.400 8.565 90.00 90.00 90.00
Atoms (fractional coordinates):
Tb 0.500 0.500 0.773
Ce 0.500 0.500 0.376
Mg 0.000 0.000 0.072
Tc 0.000 0.000 0.563

Summary:
* energy above the most stable polymorph in this dataset: 0.0000 eV/atom

(6)
Below is TbCeMgTc after structural relaxation, with properties calculated at the GGA-PBE level.

Lattice parameters (Å, degrees): 5.069 5.069 5.069 60.00 60.00 60.00
Atoms (fractional coordinates):
Mg 0.000 0.000 0.000
Tb 0.250 0.250 0.250
Tc 0.500 0.500 0.500
Ce 0.750 0.750 0.750

Summary:
* energy above the most stable polymorph in this dataset: 0.1165 eV/atom

no.,DFT total energy (eV/atom),ΔE_f (eV per atom)
1,-4.35,0.176
2,-2.94,-0.042
3,-4.42,0.103
4,-3.99,0.211
5,-5.70,-0.073
6,-5.59,0.044